(1)
A relaxed structure of La4NdSm3Se8, computed with PBE.

abc: 8.5006 8.5006 8.5006
angles: 60.01 60.01 60.01
Closest atoms and distances in Å follow each position.
Element x y z (fractional)
La  0.0000  0.0000  0.0000  6 Se 3.02
La  0.0000  0.5000  0.5000  6 Se 3.05
La  0.5000  0.0000  0.5000  6 Se 3.05
La  0.5000  0.5000  0.0000  6 Se 3.05
Nd  0.5000  0.5000  0.5000  6 Se 2.99
Sm  0.0000  0.0000  0.5000  6 Se 2.97
Sm  0.0000  0.5000  0.0000  6 Se 2.97
Sm  0.5000  0.0000  0.0000  6 Se 2.97
Se  0.2449  0.7485  0.7485  2 Sm 2.97, 1 Nd 2.99, 3 La 3.02-3.05
Se  0.2467  0.2467  0.2467  3 Sm 2.97, 3 La 3.05
Se  0.2515  0.2515  0.7551  2 Sm 2.97, 1 Nd 2.99, 3 La 3.02-3.05
Se  0.2515  0.7551  0.2515  2 Sm 2.97, 1 Nd 2.99, 3 La 3.02-3.05
Se  0.7485  0.2449  0.7485  2 Sm 2.97, 1 Nd 2.99, 3 La 3.02-3.05
Se  0.7485  0.7485  0.2449  2 Sm 2.97, 1 Nd 2.99, 3 La 3.02-3.05
Se  0.7533  0.7533  0.7533  3 Sm 2.97, 3 La 3.05
Se  0.7551  0.2515  0.2515  2 Sm 2.97, 1 Nd 2.99, 3 La 3.02-3.05

Results
- uncorrected formation energy (meV per atom) = -1913
- space group = R-3m
- N(E_F) (states/eV per atom) = 0.66
- VASP energy (eV/atom) = -6.070


(2)
A relaxed structure of La3NdSm2Se6, computed with PBE.

abc: 7.3705 7.3705 7.3645
angles: 99.60 99.60 120.16
Closest atoms and distances in Å follow each position.
Element x y z (fractional)
La  0.0000  0.0000  0.0000  6 Se 3.02-3.05
La  0.3347  0.6653  0.0000  6 Se 3.03-3.05
La  0.6653  0.3347  0.0000  6 Se 3.03-3.05
Nd  0.5000  0.5000  0.5000  6 Se 2.99
Sm  0.1666  0.8334  0.5000  6 Se 2.96-2.97
Sm  0.8334  0.1666  0.5000  6 Se 2.96-2.97
Se  0.0830  0.4194  0.2578  2 Sm 2.97, 1 Nd 2.99, 3 La 3.03-3.05
Se  0.2439  0.2439  0.7410  2 Sm 2.96, 1 Nd 2.99, 3 La 3.02-3.04
Se  0.4194  0.0830  0.2578  2 Sm 2.97, 1 Nd 2.99, 3 La 3.03-3.05
Se  0.5806  0.9170  0.7422  2 Sm 2.97, 1 Nd 2.99, 3 La 3.03-3.05
Se  0.7561  0.7561  0.2590  2 Sm 2.96, 1 Nd 2.99, 3 La 3.02-3.04
Se  0.9170  0.5806  0.7422  2 Sm 2.97, 1 Nd 2.99, 3 La 3.03-3.05

Results
- uncorrected formation energy (meV per atom) = -1919
- space group = C2/m
- N(E_F) (states/eV per atom) = 0.53
- VASP energy (eV/atom) = -6.077


(3)
A relaxed structure of SrLa3Nd2Se6, computed with PBE.

abc: 7.4545 7.4545 7.4424
angles: 99.57 99.57 120.07
Closest atoms and distances in Å follow each position.
Element x y z (fractional)
Sr  0.0000  0.0000  0.0000  6 Se 3.04-3.05
La  0.1653  0.8347  0.5000  6 Se 3.05-3.06
La  0.5000  0.5000  0.5000  6 Se 3.04-3.06
La  0.8347  0.1653  0.5000  6 Se 3.05-3.06
Nd  0.3328  0.6672  0.0000  6 Se 3.02
Nd  0.6672  0.3328  0.0000  6 Se 3.02
Se  0.0829  0.4187  0.2485  2 Nd 3.02, 3 La 3.05-3.06, 1 Sr 3.05
Se  0.2541  0.2541  0.7545  2 Nd 3.02, 1 Sr 3.04, 3 La 3.04-3.06
Se  0.4187  0.0829  0.2485  2 Nd 3.02, 3 La 3.05-3.06, 1 Sr 3.05
Se  0.5813  0.9171  0.7515  2 Nd 3.02, 3 La 3.05-3.06, 1 Sr 3.05
Se  0.7459  0.7459  0.2455  2 Nd 3.02, 1 Sr 3.04, 3 La 3.04-3.06
Se  0.9171  0.5813  0.7515  2 Nd 3.02, 3 La 3.05-3.06, 1 Sr 3.05

Results
- uncorrected formation energy (meV per atom) = -1938
- space group = C2/m
- N(E_F) (states/eV per atom) = 0.57
- VASP energy (eV/atom) = -5.847


(4)
A relaxed structure of SrLaNd4Se8, computed with PBE.

abc: 8.8383 8.8383 8.8383
angles: 59.47 59.47 59.47
Closest atoms and distances in Å follow each position.
Element x y z (fractional)
Sr  0.0000  0.0000  0.0000  4 Se 2.95
La  0.6275  0.6275  0.6275  6 Se 2.98-3.07
Nd  0.1208  0.6275  0.6275  6 Se 2.94-3.04
Nd  0.2514  0.2514  0.2514  4 Se 2.85-2.87
Nd  0.6275  0.1208  0.6275  6 Se 2.94-3.04
Nd  0.6275  0.6275  0.1208  6 Se 2.94-3.04
Se  0.3818  0.3818  0.8533  3 Nd 2.85-3.03, 1 La 3.07
Se  0.3818  0.8533  0.3818  3 Nd 2.85-3.03, 1 La 3.07
Se  0.3836  0.3836  0.3836  4 Nd 2.87-3.04
Se  0.4107  0.8661  0.8661  2 Nd 2.94, 1 Sr 2.95, 1 La 2.98
Se  0.8533  0.3818  0.3818  3 Nd 2.85-3.03, 1 La 3.07
Se  0.8641  0.8641  0.8641  3 Nd 2.95, 1 Sr 2.95
Se  0.8661  0.4107  0.8661  2 Nd 2.94, 1 Sr 2.95, 1 La 2.98
Se  0.8661  0.8661  0.4107  2 Nd 2.94, 1 Sr 2.95, 1 La 2.98

Results
- uncorrected formation energy (meV per atom) = -1825
- space group = R3m
- N(E_F) (states/eV per atom) = 0.29
- VASP energy (eV/atom) = -5.650


(5)
A relaxed structure of SrLa4Nd3Se8, computed with PBE.

abc: 8.5793 8.5793 8.5793
angles: 60.13 60.13 60.13
Closest atoms and distances in Å follow each position.
Element x y z (fractional)
Sr  0.0000  0.0000  0.0000  6 Se 3.04
La  0.0000  0.0000  0.5000  6 Se 3.05-3.06
La  0.0000  0.5000  0.0000  6 Se 3.05-3.06
La  0.5000  0.0000  0.0000  6 Se 3.05-3.06
La  0.5000  0.5000  0.5000  6 Se 3.03
Nd  0.0000  0.5000  0.5000  6 Se 3.02
Nd  0.5000  0.0000  0.5000  6 Se 3.02
Nd  0.5000  0.5000  0.0000  6 Se 3.02
Se  0.2503  0.2503  0.7466  2 Nd 3.02, 3 La 3.03-3.06, 1 Sr 3.04
Se  0.2503  0.7466  0.2503  2 Nd 3.02, 3 La 3.03-3.06, 1 Sr 3.04
Se  0.2514  0.2514  0.2514  3 Nd 3.02, 3 La 3.05
Se  0.2534  0.7497  0.7497  2 Nd 3.02, 3 La 3.03-3.06, 1 Sr 3.04
Se  0.7466  0.2503  0.2503  2 Nd 3.02, 3 La 3.03-3.06, 1 Sr 3.04
Se  0.7486  0.7486  0.7486  3 Nd 3.02, 3 La 3.05
Se  0.7497  0.2534  0.7497  2 Nd 3.02, 3 La 3.03-3.06, 1 Sr 3.04
Se  0.7497  0.7497  0.2534  2 Nd 3.02, 3 La 3.03-3.06, 1 Sr 3.04

Results
- uncorrected formation energy (meV per atom) = -1932
- space group = R-3m
- N(E_F) (states/eV per atom) = 0.58
- VASP energy (eV/atom) = -5.905


(6)
A relaxed structure of Sr2LaNdSe4, computed with PBE.

abc: 7.4737 4.3180 7.6249
angles: 90.00 109.07 90.00
Closest atoms and distances in Å follow each position.
Element x y z (fractional)
Sr  0.0000  0.0000  0.0000  6 Se 3.11
Sr  0.5000  0.5000  0.0000  6 Se 3.09
La  0.0000  0.5000  0.5000  6 Se 3.06
Nd  0.5000  0.0000  0.5000  6 Se 3.03-3.04
Se  0.2505  0.0000  0.7442  1 Nd 3.03, 2 La 3.06, 3 Sr 3.09-3.11
Se  0.2546  0.5000  0.2574  2 Nd 3.04, 1 La 3.06, 3 Sr 3.09-3.11
Se  0.7454  0.5000  0.7426  2 Nd 3.04, 1 La 3.06, 3 Sr 3.09-3.11
Se  0.7495  0.0000  0.2558  1 Nd 3.03, 2 La 3.06, 3 Sr 3.09-3.11

Results
- uncorrected formation energy (meV per atom) = -1955
- space group = P2/m
- N(E_F) (states/eV per atom) = 0.49
- VASP energy (eV/atom) = -5.329


(7)
A relaxed structure of La3Tb3NdSe8, computed with PBE.

abc: 8.4373 8.4373 8.4373
angles: 59.23 59.23 59.23
Closest atoms and distances in Å follow each position.
Element x y z (fractional)
La  0.0000  0.5000  0.5000  6 Se 3.03
La  0.5000  0.0000  0.5000  6 Se 3.03
La  0.5000  0.5000  0.0000  6 Se 3.03
Tb  0.0000  0.0000  0.5000  6 Se 2.90
Tb  0.0000  0.5000  0.0000  6 Se 2.90
Tb  0.5000  0.0000  0.0000  6 Se 2.90
Nd  0.5000  0.5000  0.5000  6 Se 3.01
Se  0.2353  0.7536  0.7536  2 Tb 2.90, 1 Nd 3.01, 2 La 3.03
Se  0.2447  0.2447  0.2447  3 Tb 2.90, 3 La 3.03
Se  0.2464  0.2464  0.7647  2 Tb 2.90, 1 Nd 3.01, 2 La 3.03
Se  0.2464  0.7647  0.2464  2 Tb 2.90, 1 Nd 3.01, 2 La 3.03
Se  0.7536  0.2353  0.7536  2 Tb 2.90, 1 Nd 3.01, 2 La 3.03
Se  0.7536  0.7536  0.2353  2 Tb 2.90, 1 Nd 3.01, 2 La 3.03
Se  0.7553  0.7553  0.7553  3 Tb 2.90, 3 La 3.03
Se  0.7647  0.2464  0.2464  2 Tb 2.90, 1 Nd 3.01, 2 La 3.03

Results
- uncorrected formation energy (meV per atom) = -1921
- space group = R-3m
- N(E_F) (states/eV per atom) = 0.53
- VASP energy (eV/atom) = -6.009


(8)
A relaxed structure of LaTbNd2Se5, computed with PBE.

abc: 5.1812 5.1812 11.0771
angles: 90.00 90.00 90.00
Closest atoms and distances in Å follow each position.
Element x y z (fractional)
La  0.0000  0.0000  0.0000  2 Se 2.78
Tb  0.0000  0.0000  0.5000  6 Se 2.59-2.76
Nd  0.5000  0.5000  0.3354  4 Se 3.17
Nd  0.5000  0.5000  0.6646  4 Se 3.17
Se  0.0000  0.0000  0.2505  1 Tb 2.76, 1 La 2.78
Se  0.0000  0.0000  0.7495  1 Tb 2.76, 1 La 2.78
Se  0.0000  0.5000  0.5000  2 Tb 2.59
Se  0.5000  0.0000  0.5000  2 Tb 2.59
Se  0.5000  0.5000  0.0000  4 La 3.66, 2 Nd 3.71

Results
- uncorrected formation energy (meV per atom) = -1330
- space group = P4/mmm
- N(E_F) (states/eV per atom) = 0.74
- VASP energy (eV/atom) = -5.387


Question: The highest uncorrected formation energy belongs to which entry?
Answer: LaTbNd2Se5


Repeat the second record exactly.
A relaxed structure of La3NdSm2Se6, computed with PBE.

abc: 7.3705 7.3705 7.3645
angles: 99.60 99.60 120.16
Closest atoms and distances in Å follow each position.
Element x y z (fractional)
La  0.0000  0.0000  0.0000  6 Se 3.02-3.05
La  0.3347  0.6653  0.0000  6 Se 3.03-3.05
La  0.6653  0.3347  0.0000  6 Se 3.03-3.05
Nd  0.5000  0.5000  0.5000  6 Se 2.99
Sm  0.1666  0.8334  0.5000  6 Se 2.96-2.97
Sm  0.8334  0.1666  0.5000  6 Se 2.96-2.97
Se  0.0830  0.4194  0.2578  2 Sm 2.97, 1 Nd 2.99, 3 La 3.03-3.05
Se  0.2439  0.2439  0.7410  2 Sm 2.96, 1 Nd 2.99, 3 La 3.02-3.04
Se  0.4194  0.0830  0.2578  2 Sm 2.97, 1 Nd 2.99, 3 La 3.03-3.05
Se  0.5806  0.9170  0.7422  2 Sm 2.97, 1 Nd 2.99, 3 La 3.03-3.05
Se  0.7561  0.7561  0.2590  2 Sm 2.96, 1 Nd 2.99, 3 La 3.02-3.04
Se  0.9170  0.5806  0.7422  2 Sm 2.97, 1 Nd 2.99, 3 La 3.03-3.05

Results
- uncorrected formation energy (meV per atom) = -1919
- space group = C2/m
- N(E_F) (states/eV per atom) = 0.53
- VASP energy (eV/atom) = -6.077


Question: The highest N(E_F) belongs to which entry?
Answer: LaTbNd2Se5


Question: Which formula does entry 1 have?
Answer: La4NdSm3Se8